Material: Pm2BeSn
Method: DFT, PBE
State: optimized geometry

Properties
- Space-group type: P4/mmm (123)
- Formation energy from the elements: -0.24 eV/atom
- Magnetization: 0.00 μB per formula unit
- DFT total energy: -4.55 eV/atom
- V: 24.9 A^3/atom

Cell: 3.619 3.619 7.613 Å, 90.00 90.00 90.00°
Fractional coordinates of all 4 atoms:
Pm  0.000  0.000  0.777
Pm  0.000  0.000  0.223
Sn  0.500  0.500  0.500
Be  0.500  0.500  0.000

Material: Pm2BeSn
Method: DFT, PBE
State: optimized geometry

Properties
- Space-group type: Fm-3m (225)
- Formation energy from the elements: -0.21 eV/atom
- Magnetization: 0.00 μB per formula unit
- DFT total energy: -4.52 eV/atom
- V: 25.4 A^3/atom

Cell: 5.237 5.237 5.237 Å, 60.00 60.00 60.00°
Fractional coordinates of all 4 atoms:
Pm  0.250  0.250  0.250
Pm  0.750  0.750  0.750
Be  0.000  0.000  0.000
Sn  0.500  0.500  0.500

Material: PmBeSn
Method: DFT, PBE
State: optimized geometry

Properties
- Space-group type: P-6m2 (187)
- Formation energy from the elements: -0.48 eV/atom
- Magnetization: 0.00 μB per formula unit
- DFT total energy: -4.64 eV/atom
- V: 22.4 A^3/atom

Cell: 4.239 4.239 12.971 Å, 90.00 90.00 120.00°
Fractional coordinates of all 9 atoms:
Sn  0.828  0.656  0.832
Sn  0.161  0.323  0.500
Sn  0.828  0.656  0.168
Be  0.161  0.323  0.841
Be  0.828  0.656  0.500
Be  0.161  0.323  0.159
Pm  0.495  0.989  0.667
Pm  0.495  0.989  0.000
Pm  0.495  0.989  0.333

Material: PmBeSn
Method: DFT, PBE
State: optimized geometry

Properties
- Space-group type: I4mm (107)
- Formation energy from the elements: 0.16 eV/atom
- Magnetization: 0.00 μB per formula unit
- DFT total energy: -4.00 eV/atom
- V: 24.9 A^3/atom

Cell: 4.231 4.231 5.135 Å, 114.33 114.33 90.00°
Fractional coordinates of all 3 atoms:
Pm  0.953  0.953  0.906
Sn  0.595  0.595  0.191
Be  0.302  0.302  0.604

Material: PmBeSn
Method: DFT, PBE
State: optimized geometry

Properties
- Space-group type: P-6m2 (187)
- Formation energy from the elements: -0.48 eV/atom
- Magnetization: 0.00 μB per formula unit
- DFT total energy: -4.64 eV/atom
- V: 22.4 A^3/atom

Cell: 4.331 4.237 4.237 Å, 120.00 90.00 90.00°
Fractional coordinates of all 3 atoms:
Be  0.167  0.667  0.333
Pm  0.666  0.333  0.667
Sn  0.166  0.000  0.000

Material: PmBeSn
Method: DFT, PBE
State: optimized geometry

Properties
- Space-group type: F-43m (216)
- Formation energy from the elements: -0.30 eV/atom
- Magnetization: 0.00 μB per formula unit
- DFT total energy: -4.46 eV/atom
- V: 22.4 A^3/atom

Cell: 4.560 4.560 4.560 Å, 60.00 60.00 60.00°
Fractional coordinates of all 3 atoms:
Pm  0.000  0.000  0.000
Be  0.250  0.250  0.250
Sn  0.500  0.500  0.500

Material: TbPmBe2
Method: DFT, PBE
State: optimized geometry

Properties
- Space-group type: Fm-3m (225)
- Formation energy from the elements: 0.15 eV/atom
- Magnetization: 0.00 μB per formula unit
- DFT total energy: -4.06 eV/atom
- V: 20.7 A^3/atom

Cell: 4.890 4.890 4.890 Å, 60.00 60.00 60.00°
Fractional coordinates of all 4 atoms:
Be  0.750  0.750  0.750
Be  0.250  0.250  0.250
Tb  0.000  0.000  0.000
Pm  0.500  0.500  0.500

Material: TbPmBe
Method: DFT, PBE
State: optimized geometry

Properties
- Space-group type: I4mm (107)
- Formation energy from the elements: 0.12 eV/atom
- Magnetization: 0.00 μB per formula unit
- DFT total energy: -4.25 eV/atom
- V: 25.1 A^3/atom

Cell: 3.529 3.529 6.547 Å, 105.63 105.63 90.00°
Fractional coordinates of all 3 atoms:
Be  0.662  0.662  0.324
Tb  0.033  0.033  0.067
Pm  0.304  0.304  0.609

Material: TbPmBe
Method: DFT, PBE
State: optimized geometry

Properties
- Space-group type: Fmmm (69)
- Formation energy from the elements: 0.19 eV/atom
- Magnetization: 0.00 μB per formula unit
- DFT total energy: -4.18 eV/atom
- V: 25.6 A^3/atom

Cell: 5.816 5.816 5.870 Å, 108.96 108.96 110.13°
Fractional coordinates of all 6 atoms:
Pm  0.680  0.320  0.000
Pm  0.320  0.680  0.000
Be  0.250  0.750  0.500
Be  0.750  0.250  0.500
Tb  0.183  0.183  0.365
Tb  0.817  0.817  0.635

Material: TbPmBeZn
Method: DFT, PBE
State: optimized geometry

Properties
- Space-group type: F-43m (216)
- Formation energy from the elements: -0.07 eV/atom
- Magnetization: 0.00 μB per formula unit
- DFT total energy: -3.67 eV/atom
- V: 22.3 A^3/atom

Cell: 5.015 5.015 5.015 Å, 60.00 60.00 60.00°
Fractional coordinates of all 4 atoms:
Be  0.500  0.500  0.500
Pm  0.250  0.250  0.250
Zn  0.000  0.000  0.000
Tb  0.750  0.750  0.750

Material: Pm2BeTe
Method: DFT, PBE
State: optimized geometry

Properties
- Space-group type: P4/mmm (123)
- ΔE_f (raw): -138 kJ/mol of formula units
- Magnetization: 0.00 μB per formula unit
- DFT total energy: -4.45 eV/atom
- V: 25.8 A^3/atom

Cell: 3.710 5.278 5.278 Å, 90.00 90.00 90.00°
Fractional coordinates of all 4 atoms:
Pm  0.000  0.000  0.500
Pm  0.000  0.500  0.000
Be  0.500  0.000  0.000
Te  0.500  0.500  0.500

Material: Pm5BeTe4
Method: DFT, PBE
State: optimized geometry

Properties
- Space-group type: I4 (79)
- ΔE_f (raw): -1070 kJ/mol of formula units
- Magnetization: 0.00 μB per formula unit
- DFT total energy: -5.11 eV/atom
- V: 30.4 A^3/atom

Cell: 6.246 7.643 7.643 Å, 80.39 65.88 65.88°
Fractional coordinates of all 10 atoms:
Te  0.806  0.785  0.604
Te  0.196  0.215  0.396
Te  0.410  0.396  0.785
Te  0.592  0.604  0.215
Pm  0.906  0.371  0.819
Pm  0.096  0.629  0.181
Pm  0.725  0.181  0.371
Pm  0.501  0.000  0.000
Pm  0.277  0.819  0.629
Be  0.002  0.000  0.000